Entry 1:
GeIN, relaxed, DFT PBE; crystal system = monoclinic; uncorrected energy = -4.525 eV per atom
1.0
6.6487 0.0000 0.0000
0.0000 8.6910 0.0000
-2.7772 0.0000 6.5719
Ge I N
4 4 4
Cartesian
-0.4703 1.2216 1.7204 Ge
-1.8589 3.1239 5.0064 Ge
5.7304 5.5671 1.5655 Ge
4.3418 7.4694 4.8515 Ge
-0.0006 5.4607 4.3422 I
1.3880 7.5759 1.0563 I
2.4835 1.1152 5.5157 I
3.8721 3.2304 2.2297 I
-1.1410 0.1673 3.8259 N
0.2476 4.1782 0.5399 N
3.6239 4.5128 6.0320 N
5.0125 8.5237 2.7461 N

Entry 2:
GeIN3, relaxed, DFT PBE; crystal system = cubic; uncorrected energy = -4.102 eV per atom
1.0
3.9821 0.0000 0.0000
0.0000 3.9821 0.0000
0.0000 0.0000 3.9821
Ge I N
1 1 3
Cartesian
0.0000 0.0000 0.0000 Ge
1.9911 1.9911 1.9911 I
0.0000 1.9911 1.9911 N
1.9911 0.0000 1.9911 N
1.9911 1.9911 0.0000 N

Entry 3:
GeI2N2, relaxed, DFT PBE; crystal system = tetragonal; uncorrected energy = -3.341 eV per atom
1.0
4.0903 0.0000 0.0000
0.0000 4.0903 0.0000
0.0000 0.0000 7.2083
Ge I N
1 2 2
Cartesian
0.0000 0.0000 0.0000 Ge
0.0000 0.0000 3.6041 I
2.0452 2.0452 3.6041 I
0.0000 2.0452 0.0000 N
2.0452 0.0000 0.0000 N

Entry 4:
GeI2N2, relaxed, DFT PBE; crystal system = tetragonal; uncorrected energy = -3.055 eV per atom
1.0
4.1849 0.0000 0.0000
0.0000 4.1849 0.0000
0.0000 0.0000 7.8642
Ge I N
1 2 2
Cartesian
0.0000 0.0000 0.0000 Ge
2.0924 2.0924 0.0000 I
2.0924 2.0924 3.9321 I
0.0000 2.0924 3.9321 N
2.0924 0.0000 3.9321 N

Entry 5:
GeIN, relaxed, DFT PBE; crystal system = triclinic; uncorrected energy = -3.528 eV per atom
1.0
4.0986 0.0000 0.0000
1.8668 3.7718 0.0000
2.0383 -0.7484 9.2344
Ge I N
2 2 2
Cartesian
1.0136 0.6530 0.3531 Ge
6.9901 2.3703 8.8813 Ge
2.9586 2.4265 6.0148 I
5.0451 0.5969 3.2195 I
2.9652 2.4179 3.3912 N
5.0385 0.6054 5.8432 N

Entry 6:
GeI2N2, relaxed, DFT PBE; crystal system = tetragonal; uncorrected energy = -3.381 eV per atom
1.0
6.4295 0.0000 0.0000
0.0000 6.4295 0.0000
0.0000 0.0000 3.3685
Ge I N
1 2 2
Cartesian
0.0000 0.0000 0.0000 Ge
0.0000 3.2147 0.0000 I
3.2147 0.0000 0.0000 I
0.0000 0.0000 1.6843 N
3.2147 3.2147 1.6843 N

Entry 7:
GeI2N2, relaxed, DFT PBE; crystal system = monoclinic; uncorrected energy = -5.069 eV per atom
1.0
3.7133 -2.1426 0.0000
3.7133 2.1426 0.0000
-0.5106 0.0000 11.5352
Ge I N
1 2 2
Cartesian
0.0000 0.0000 0.0000 Ge
2.4744 0.0000 1.7516 I
4.4417 0.0000 9.7836 I
0.1862 0.0000 5.4284 N
6.7298 0.0000 6.1068 N

Entry 8:
NbGeIN2, relaxed, DFT PBE; crystal system = tetragonal; uncorrected energy = -4.990 eV per atom
1.0
3.9719 0.0000 0.0000
0.0000 3.9719 0.0000
0.0000 0.0000 5.5824
Nb Ge I N
1 1 1 2
Cartesian
0.0000 0.0000 0.0000 Nb
1.9859 1.9859 2.7912 Ge
1.9859 1.9859 0.0000 I
0.0000 1.9859 2.7912 N
1.9859 0.0000 2.7912 N

Entry 9:
NbGeIN2, relaxed, DFT PBE; crystal system = tetragonal; uncorrected energy = -5.935 eV per atom
1.0
4.1273 0.0000 0.0000
0.0000 4.1273 0.0000
0.0000 0.0000 5.7356
Nb Ge I N
1 1 1 2
Cartesian
0.0000 0.0000 0.0000 Nb
2.0637 2.0637 2.8678 Ge
0.0000 0.0000 2.8678 I
0.0000 2.0637 0.0000 N
2.0637 0.0000 0.0000 N

Entry 10:
NiGeIN2, relaxed, DFT PBE; crystal system = tetragonal; uncorrected energy = -4.288 eV per atom
1.0
3.9400 0.0000 0.0000
0.0000 3.9400 0.0000
0.0000 0.0000 5.5115
Ni Ge I N
1 1 1 2
Cartesian
0.0000 0.0000 0.0000 Ni
1.9700 1.9700 2.7558 Ge
0.0000 0.0000 2.7558 I
0.0000 1.9700 0.0000 N
1.9700 0.0000 0.0000 N

Entry 11:
NiGeIN2, relaxed, DFT PBE; crystal system = tetragonal; uncorrected energy = -4.464 eV per atom
1.0
3.6575 0.0000 0.0000
0.0000 3.6575 0.0000
0.0000 0.0000 7.5917
Ni Ge I N
1 1 1 2
Cartesian
0.0000 0.0000 0.0000 Ni
1.8288 1.8288 3.7959 Ge
1.8288 1.8288 0.0000 I
0.0000 1.8288 3.7959 N
1.8288 0.0000 3.7959 N

Entry 12:
GeOsIN2, relaxed, DFT PBE; crystal system = tetragonal; uncorrected energy = -5.776 eV per atom
1.0
3.9303 0.0000 0.0000
0.0000 3.9303 0.0000
0.0000 0.0000 5.7533
Ge Os I N
1 1 1 2
Cartesian
0.0000 0.0000 0.0000 Ge
1.9652 1.9652 2.8767 Os
1.9652 1.9652 0.0000 I
0.0000 1.9652 2.8767 N
1.9652 0.0000 2.8767 N